--- one ---
Material: KSmSnSe3
Method: DFT, PBE
State: relaxed

Lattice parameters (Å, degrees): 15.4956 4.2366 12.3729 90.00 90.00 90.00
Closest atoms and distances in Å follow each position.
Fractional coordinates of all 24 atoms:
Sm 0.9979 0.2500 0.6466  6 Se 2.89-3.00
Se 0.1345 0.7500 0.1769  2 Sn 2.78, 1 Sm 3.00
Se 0.6039 0.2500 0.0458  3 Sm 2.89-2.92
Sm 0.4979 0.2500 0.8534  6 Se 2.89-3.00
Se 0.8961 0.7500 0.5458  3 Sm 2.89-2.92
Sn 0.9580 0.7500 0.9105  3 Se 2.68-2.78
Se 0.8655 0.2500 0.8231  2 Sn 2.78, 1 Sm 3.00
K 0.7661 0.7500 0.1001  5 Se 3.35-3.46
Se 0.9092 0.2500 0.2288  1 Sn 2.68, 2 Sm 2.99
K 0.2661 0.7500 0.3999  5 Se 3.35-3.46
K 0.7339 0.2500 0.6001  5 Se 3.35-3.46
Se 0.3961 0.7500 0.9542  3 Sm 2.89-2.92
Se 0.4092 0.2500 0.2712  1 Sn 2.68, 2 Sm 2.99
Se 0.6345 0.7500 0.3231  2 Sn 2.78, 1 Sm 3.00
Sm 0.5021 0.7500 0.1466  6 Se 2.89-3.00
Se 0.1039 0.2500 0.4542  3 Sm 2.89-2.92
Se 0.3655 0.2500 0.6769  2 Sn 2.78, 1 Sm 3.00
Sn 0.0420 0.2500 0.0895  3 Se 2.68-2.78
K 0.2339 0.2500 0.8999  5 Se 3.35-3.46
Sn 0.4580 0.7500 0.5895  3 Se 2.68-2.78
Sm 0.0021 0.7500 0.3534  6 Se 2.89-3.00
Sn 0.5420 0.2500 0.4105  3 Se 2.68-2.78
Se 0.5908 0.7500 0.7288  1 Sn 2.68, 2 Sm 2.99
Se 0.0908 0.7500 0.7712  1 Sn 2.68, 2 Sm 2.99

* magnetic moment: 0.001 μB per formula unit
* theoretical density: 4.5 g/cm3
* V: 812.3 Å³/cell


--- two ---
Material: KSmSnSe3
Method: DFT, PBE
State: relaxed

Lattice parameters (Å, degrees): 8.5931 8.5931 11.9874 90.00 90.00 151.64
Closest atoms and distances in Å follow each position.
Fractional coordinates of all 12 atoms:
Sm 0.5000 0.5000 0.5000  6 Se 2.91-3.00
Se 0.5048 0.4952 0.7500  2 Sn 2.81, 2 Sm 3.00
Se 0.8797 0.1203 0.4938  2 Sm 2.91, 1 Sn 2.92, 1 K 3.22
Se 0.8797 0.1203 0.0062  2 Sm 2.91, 1 Sn 2.92, 1 K 3.22
K 0.8206 0.1794 0.7500  2 Se 3.22
K 0.1794 0.8206 0.2500  2 Se 3.22
Se 0.4952 0.5048 0.2500  2 Sn 2.81, 2 Sm 3.00
Sn 0.1165 0.8835 0.7500  4 Se 2.81-2.92
Sn 0.8835 0.1165 0.2500  4 Se 2.81-2.92
Sm 0.5000 0.5000 0.0000  6 Se 2.91-3.00
Se 0.1203 0.8797 0.5062  2 Sm 2.91, 1 Sn 2.92, 1 K 3.22
Se 0.1203 0.8797 0.9938  2 Sm 2.91, 1 Sn 2.92, 1 K 3.22

* magnetic moment: 0.005 μB per formula unit
* theoretical density: 4.3 g/cm3
* V: 420.5 Å³/cell


Q: Which of them is the least stable? A: two.


--- one ---
Material: KZrTaSe3
Method: DFT, PBE
State: relaxed

Lattice parameters (Å, degrees): 8.2315 8.2315 10.0915 90.00 90.00 153.65
Closest atoms and distances in Å follow each position.
Fractional coordinates of all 12 atoms:
Se 0.4134 0.5866 0.7500  2 Ta 2.59, 2 Zr 2.88
Ta 0.9749 0.0251 0.2500  4 Se 2.52-2.59
K 0.7459 0.2541 0.7500  6 Se 3.27-3.36
K 0.2541 0.7459 0.2500  6 Se 3.27-3.36
Ta 0.0251 0.9749 0.7500  4 Se 2.52-2.59
Se 0.8773 0.1227 0.0548  1 Ta 2.52, 2 Zr 2.77
Se 0.8773 0.1227 0.4452  1 Ta 2.52, 2 Zr 2.77
Zr 0.5000 0.5000 0.0000  6 Se 2.77-2.88
Se 0.1227 0.8773 0.9452  1 Ta 2.52, 2 Zr 2.77
Se 0.5866 0.4134 0.2500  2 Ta 2.59, 2 Zr 2.88
Zr 0.5000 0.5000 0.5000  6 Se 2.77-2.88
Se 0.1227 0.8773 0.5548  1 Ta 2.52, 2 Zr 2.77

* magnetic moment: 0.001 μB per formula unit
* theoretical density: 6.0 g/cm3
* V: 303.5 Å³/cell


--- two ---
Material: KZrTaSe3
Method: DFT, PBE
State: relaxed

Lattice parameters (Å, degrees): 8.7542 3.7847 10.1715 90.00 113.14 90.00
Closest atoms and distances in Å follow each position.
Fractional coordinates of all 12 atoms:
K 0.4670 0.7500 0.2244  6 Se 3.27-3.37
Se 0.7982 0.2500 0.3625  3 Zr 2.68-2.73
Se 0.2119 0.2500 0.9529  3 Ta 2.65-2.72
Se 0.2523 0.2500 0.3519  1 Ta 2.55, 2 Zr 2.80
Se 0.7881 0.7500 0.0471  3 Ta 2.65-2.72
Se 0.7477 0.7500 0.6481  1 Ta 2.55, 2 Zr 2.80
Zr 0.9813 0.2500 0.6450  6 Se 2.68-2.99
Se 0.2018 0.7500 0.6375  3 Zr 2.68-2.73
Zr 0.0187 0.7500 0.3550  6 Se 2.68-2.99
Ta 0.9834 0.7500 0.8953  4 Se 2.55-2.72, 2 Ta 2.78
Ta 0.0166 0.2500 0.1047  4 Se 2.55-2.72, 2 Ta 2.78
K 0.5330 0.2500 0.7756  6 Se 3.27-3.37

* magnetic moment: 0.001 μB per formula unit
* theoretical density: 5.9 g/cm3
* V: 309.9 Å³/cell


Q: Which of them is the least stable? A: one.


--- one ---
Material: K2TcSe3
Method: DFT, PBE
State: relaxed

Lattice parameters (Å, degrees): 7.3779 7.3779 7.0065 95.36 95.36 72.56
Closest atoms and distances in Å follow each position.
Fractional coordinates of all 12 atoms:
Tc 0.0924 0.9076 0.2500  5 Se 2.35-2.55
K 0.8353 0.4906 0.2011  6 Se 3.28-3.52
Se 0.6385 0.3615 0.7500  1 Tc 2.35
Se 0.1627 0.0997 0.9976  2 Tc 2.45-2.55
Se 0.8373 0.9003 0.0024  2 Tc 2.45-2.55
K 0.1647 0.5094 0.7989  6 Se 3.28-3.52
Se 0.0997 0.1627 0.4976  2 Tc 2.45-2.55
K 0.4906 0.8353 0.7011  6 Se 3.28-3.52
Se 0.3615 0.6385 0.2500  1 Tc 2.35
Tc 0.9076 0.0924 0.7500  5 Se 2.35-2.55
Se 0.9003 0.8373 0.5024  2 Tc 2.45-2.55
K 0.5094 0.1647 0.2989  6 Se 3.28-3.52

* magnetic moment: 0.989 μB per formula unit
* theoretical density: 3.8 g/cm3
* V: 361.4 Å³/cell


--- two ---
Material: K2TcSe3
Method: DFT, PBE
State: relaxed

Lattice parameters (Å, degrees): 6.9543 7.4881 8.7344 73.69 69.05 66.83
Closest atoms and distances in Å follow each position.
Fractional coordinates of all 12 atoms:
Se 0.7557 0.9530 0.4822  2 Tc 2.39-2.40
Se 0.3346 0.6214 0.2875  1 Tc 2.37
K 0.8505 0.5568 0.3047  6 Se 3.34-3.53
Tc 0.1222 0.9461 0.3410  4 Se 2.37-2.40
Se 0.2443 0.0470 0.5178  2 Tc 2.39-2.40
K 0.3940 0.8045 0.8797  7 Se 3.35-3.66
K 0.1495 0.4432 0.6953  6 Se 3.34-3.53
Se 0.8725 0.8190 0.9061  1 Tc 2.37
Tc 0.8778 0.0539 0.6590  4 Se 2.37-2.40
K 0.6060 0.1955 0.1203  7 Se 3.35-3.66
Se 0.1275 0.1810 0.0939  1 Tc 2.37
Se 0.6654 0.3786 0.7125  1 Tc 2.37

* magnetic moment: 1.731 μB per formula unit
* theoretical density: 3.6 g/cm3
* V: 385.3 Å³/cell


Q: Which of them is the least stable? A: one.


--- one ---
Material: KSiW
Method: DFT, PBE
State: relaxed

Lattice parameters (Å, degrees): 4.6535 4.6535 4.6535 60.00 60.00 60.00
Closest atoms and distances in Å follow each position.
Fractional coordinates of all 3 atoms:
Si 0.0000 0.0000 0.0000  4 K 2.85, 4 W 2.85
K 0.2500 0.2500 0.2500  4 Si 2.85
W 0.7500 0.7500 0.7500  4 Si 2.85

* magnetic moment: 2.484 μB per formula unit
* theoretical density: 5.8 g/cm3
* V: 71.3 Å³/cell


--- two ---
Material: KSiW
Method: DFT, PBE
State: relaxed

Lattice parameters (Å, degrees): 4.8797 4.8797 4.8797 60.00 60.00 60.00
Closest atoms and distances in Å follow each position.
Fractional coordinates of all 3 atoms:
Si 0.2500 0.2500 0.2500  4 K 2.99
W 0.7500 0.7500 0.7500  4 K 2.99
K 0.0000 0.0000 0.0000  4 Si 2.99, 4 W 2.99

* magnetic moment: 3.000 μB per formula unit
* theoretical density: 5.1 g/cm3
* V: 82.2 Å³/cell


Q: Which of them is the least stable? A: two.


--- one ---
Material: KZrSi
Method: DFT, PBE
State: relaxed

Lattice parameters (Å, degrees): 4.8779 4.8779 4.8779 60.00 60.00 60.00
Closest atoms and distances in Å follow each position.
Fractional coordinates of all 3 atoms:
Zr 0.7500 0.7500 0.7500  4 Si 2.99
Si 0.0000 0.0000 0.0000  4 K 2.99, 4 Zr 2.99
K 0.2500 0.2500 0.2500  4 Si 2.99

* magnetic moment: 0.168 μB per formula unit
* theoretical density: 3.2 g/cm3
* V: 82.1 Å³/cell


--- two ---
Material: KZrSi
Method: DFT, PBE
State: relaxed

Lattice parameters (Å, degrees): 4.8420 4.8420 4.8420 60.00 60.00 60.00
Closest atoms and distances in Å follow each position.
Fractional coordinates of all 3 atoms:
K 0.0000 0.0000 0.0000  4 Si 2.97, 4 Zr 2.97
Zr 0.7500 0.7500 0.7500  4 K 2.97
Si 0.2500 0.2500 0.2500  4 K 2.97

* magnetic moment: 0.951 μB per formula unit
* theoretical density: 3.3 g/cm3
* V: 80.3 Å³/cell


Q: Which of them is the least stable? A: two.


--- one ---
Material: KTaSn
Method: DFT, PBE
State: relaxed

Lattice parameters (Å, degrees): 5.1173 5.1173 5.1173 60.00 60.00 60.00
Closest atoms and distances in Å follow each position.
Fractional coordinates of all 3 atoms:
K 0.0000 0.0000 0.0000  4 Ta 3.13, 4 Sn 3.13
Ta 0.7500 0.7500 0.7500  4 K 3.13
Sn 0.2500 0.2500 0.2500  4 K 3.13

* magnetic moment: 2.175 μB per formula unit
* theoretical density: 5.9 g/cm3
* V: 94.8 Å³/cell


--- two ---
Material: KTaSn
Method: DFT, PBE
State: relaxed

Lattice parameters (Å, degrees): 5.0775 5.0775 5.0775 60.00 60.00 60.00
Closest atoms and distances in Å follow each position.
Fractional coordinates of all 3 atoms:
K 0.2500 0.2500 0.2500  4 Sn 3.11
Ta 0.7500 0.7500 0.7500  4 Sn 3.11
Sn 0.0000 0.0000 0.0000  4 Ta 3.11, 4 K 3.11

* magnetic moment: 2.001 μB per formula unit
* theoretical density: 6.1 g/cm3
* V: 92.6 Å³/cell


Q: Which of them is the least stable? A: one.